Entry from Alexandria via LeMat-Bulk: crystalline CsAsPbCl6 at its relaxed geometry (PBE).

It has space group P312 (No. 149), with a = 7.1980 Å, b = 7.1980 Å, c = 7.5833 Å, α = 90.00°, β = 90.00° and γ = 120.00°. The distinct sites, in fractional coordinates, are Cs at (0.0000, 0.0000, 0.0000), As at (0.3333, 0.6667, 0.5000), Pb at (0.6667, 0.3333, 0.5000) and Cl at (0.0410, 0.3928, 0.3023).

The raw formation energy comes out at -1.14 eV/atom. Its density of states at the Fermi level is 0.000 states/eV per cell. Its calculated density is 3.1 g/cm³.


Entry from Alexandria via LeMat-Bulk: crystalline SrTeSe2N at its relaxed geometry (PBE).

It has space group P4/mmm (No. 123), with a = 5.797 Å, b = 5.797 Å, c = 4.351 Å, α = 90.00°, β = 90.00° and γ = 90.00°. The distinct sites, in fractional coordinates, are Sr at (0.000, 0.000, 0.000), Te at (0.500, 0.500, 0.500), Se at (0.000, 0.500, 0.000) and N at (0.000, 0.000, 0.500).

The raw formation energy comes out at 0.94 eV/atom. Its density of states at the Fermi level is 6.880 states/eV per cell. Its calculated density is 4.4 g/cm³. As for the energy above the lowest structure with this stoichiometry: 1.048 eV per atom.


Entry from Alexandria via LeMat-Bulk: crystalline YTeSe2 at its relaxed geometry (PBE).

It has space group Pmmm (No. 47), with a = 4.064 Å, b = 4.088 Å, c = 6.273 Å, α = 90.00°, β = 90.00° and γ = 90.00°. The distinct sites, in fractional coordinates, are Y at (0.000, 0.000, 0.000), Te at (0.500, 0.000, 0.500), Se at (0.000, 0.500, 0.500) and Se at (0.500, 0.500, 0.000).

The raw formation energy comes out at -0.86 eV/atom. Its density of states at the Fermi level is 1.128 states/eV per cell. Its calculated density is 6.0 g/cm³.


- Which formula does entry 3 have?
  YTeSe2